ZnCd2Te: optimized geometry, PBE.

formation energy without anion corrections = 0.1171 eV per atom
SG = Cmm2
distance to the lowest polymorph of the same formula = 0.140 eV per atom

Cell lengths 3.3754, 3.3754, 8.8462 Å; angles 90.00, 90.00, 106.29 degrees
With the nearest neighbours (Å) after each atom.
Element x y z (fractional)
Cd 0.0000 0.0000 0.9804  2 Zn 2.82, 2 Cd 3.04
Cd 0.5000 0.5000 0.2360  6 Cd 3.04-3.38, 2 Te 3.26
Te 0.0000 0.0000 0.5255  2 Zn 2.89
Zn 0.5000 0.5000 0.7580  2 Cd 2.82, 2 Te 2.89



Te2AuICl: optimized geometry, PBE.

formation energy without anion corrections = 0.9362 eV per atom
SG = P4/mmm
distance to the lowest polymorph of the same formula = 0.501 eV per atom

Cell lengths 5.4717, 5.4717, 5.5175 Å; angles 90.00, 90.00, 90.00 degrees
With the nearest neighbours (Å) after each atom.
Element x y z (fractional)
I 0.0000 0.0000 0.5000  2 Cl 2.76
Te 0.0000 0.5000 0.0000  2 Cl 2.74
Te 0.5000 0.0000 0.0000  2 Cl 2.74
Au 0.5000 0.5000 0.5000  4 I 3.87, 8 Te 3.89
Cl 0.0000 0.0000 0.0000  4 Te 2.74, 2 I 2.76



K2ZnRu: optimized geometry, PBE.

calculated total energy = -2.475 eV/atom
SG = Imm2

Cell lengths 6.1609, 6.1609, 6.1609 Å; angles 138.47, 124.39, 71.74 degrees
With the nearest neighbours (Å) after each atom.
Element x y z (fractional)
K 0.0287 0.0287 0.0000  4 K 3.49-3.73, 4 Zn 3.55-3.64, 4 Ru 3.76
K 0.7263 0.2263 0.5000  4 K 3.49-3.73, 4 Ru 3.49-3.72, 4 Zn 3.73
Ru 0.4251 0.4251 0.0000  2 Zn 2.42
Zn 0.3199 0.8199 0.5000  2 Ru 2.42



PuAg3: optimized geometry, PBE.

calculated total energy = -5.467 eV/atom
SG = Pm-3m

Cell lengths 4.4793, 4.4793, 4.4793 Å; angles 90.00, 90.00, 90.00 degrees
With the nearest neighbours (Å) after each atom.
Element x y z (fractional)
Ag 0.0000 0.5000 0.5000  4 Pu 3.17, 8 Ag 3.17
Ag 0.5000 0.0000 0.5000  8 Ag 3.17, 4 Pu 3.17
Ag 0.5000 0.5000 0.0000  4 Pu 3.17, 8 Ag 3.17
Pu 0.0000 0.0000 0.0000  12 Ag 3.17



no.,ρ (Mg/m³)
1,7.2
2,6.2
3,3.2
4,10.5